LiIn2Pd2 | GGA-PBEsol | optimized geometry

Cell: 3.0752 7.6664 7.6664 Å, 90.00 90.00 90.00°
Last column: nearest neighbours and their distance in Å.
Element x y z (fractional)
Li1 0.0000 0.0000 0.0000  4 In 2.92, 2 Li 3.08
Li2 0.0000 0.5000 0.5000  4 In 2.92, 2 Li 3.08
Pd1 0.5000 0.1479 0.6479  6 In 2.68-2.75
Pd2 0.5000 0.6479 0.8521  6 In 2.68-2.75
Pd3 0.5000 0.8521 0.3521  6 In 2.68-2.75
Pd4 0.5000 0.3521 0.1479  6 In 2.68-2.75
In1 0.0000 0.3502 0.8502  6 Pd 2.68-2.75, 2 Li 2.92
In2 0.0000 0.8502 0.6498  6 Pd 2.68-2.75, 2 Li 2.92
In3 0.0000 0.6498 0.1498  6 Pd 2.68-2.75, 2 Li 2.92
In4 0.0000 0.1498 0.3502  6 Pd 2.68-2.75, 2 Li 2.92

Properties
The volume is 18.074 A^3/atom. Its symmetry is P4/mbm (127). The energy of formation is -2.49 eV/f.u.


InMoPb2 | GGA-PBEsol | optimized geometry

Cell: 3.0976 3.0976 10.4774 Å, 90.00 90.00 106.11°
Last column: nearest neighbours and their distance in Å.
Element x y z (fractional)
In1 0.5000 0.5000 0.5000  4 In 3.10
Mo1 0.5000 0.5000 0.0000  4 Pb 2.89, 4 Mo 3.10
Pb1 0.0000 0.0000 0.2104  2 Mo 2.89, 4 Pb 3.10
Pb2 0.0000 0.0000 0.7896  2 Mo 2.89, 4 Pb 3.10

Properties
The volume is 24.147 A^3/atom. Its symmetry is Cmmm (65). The energy of formation is 1.96 eV/f.u.


TlFeSe | GGA-PBEsol | optimized geometry

Cell: 4.0994 4.0994 4.4253 Å, 90.00 90.00 120.00°
Last column: nearest neighbours and their distance in Å.
Element x y z (fractional)
Fe1 0.0000 0.0000 0.8332  3 Se 2.37
Se1 0.6667 0.3333 0.8335  3 Fe 2.37
Tl1 0.3333 0.6667 0.3333  6 Fe 3.24, 6 Se 3.24

Properties
The value obtained for the distance to the lowest polymorph of the same formula is 0 meV/atom. The volume is 21.468 A^3/atom. The value obtained for the formation energy without anion corrections is 2.5 kcal/mol of atoms. Its symmetry is P-6m2 (187).


SnBi | GGA-PBEsol | optimized geometry

Cell: 3.3045 3.3045 5.4100 Å, 90.00 90.00 107.00°
Last column: nearest neighbours and their distance in Å.
Element x y z (fractional)
Bi1 0.5000 0.5000 0.5000  4 Bi 3.30, 4 Sn 3.34
Sn1 0.0000 0.0000 0.0000  4 Sn 3.30, 4 Bi 3.34

Properties
The volume is 28.246 A^3/atom. Its symmetry is Cmmm (65). The energy of formation is 0.11 eV/f.u.


TaMnTc | GGA-PBEsol | optimized geometry

Cell: 4.0586 4.0586 4.0586 Å, 60.00 60.00 60.00°
Last column: nearest neighbours and their distance in Å.
Element x y z (fractional)
Mn1 0.2500 0.2500 0.2500  4 Ta 2.49, 4 Tc 2.49
Ta1 0.0000 0.0000 0.0000  4 Mn 2.49
Tc1 0.5000 0.5000 0.5000  4 Mn 2.49

Properties
The volume is 15.757 A^3/atom. Its symmetry is F-43m (216). The energy of formation is 1.35 eV/f.u.


ScSiRh2 | GGA-PBEsol | optimized geometry

Cell: 4.3032 4.3032 4.3042 Å, 60.01 60.01 60.00°
Last column: nearest neighbours and their distance in Å.
Element x y z (fractional)
Sc1 0.5000 0.5000 0.5000  8 Rh 2.64
Si1 0.0000 0.0000 0.0000  8 Rh 2.64
Rh1 0.2500 0.2500 0.2499  4 Si 2.64, 4 Sc 2.64
Rh2 0.7500 0.7500 0.7501  4 Si 2.64, 4 Sc 2.64

Properties
The volume is 14.092 A^3/atom. The value obtained for the formation energy without anion corrections is -22.2 kcal/mol of atoms. Its symmetry is Fm-3m (225).


BaHgS2Cl | GGA-PBEsol | optimized geometry

Cell: 5.8345 6.2098 6.2098 Å, 90.00 90.00 90.00°
Last column: nearest neighbours and their distance in Å.
Element x y z (fractional)
S1 0.0000 0.0000 0.5000  2 Ba 3.10
S2 0.0000 0.5000 0.0000  2 Ba 3.10
Cl1 0.5000 0.0000 0.0000  2 Ba 2.92
Hg1 0.5000 0.5000 0.5000  8 S 4.26, 4 Cl 4.39
Ba1 0.0000 0.0000 0.0000  2 Cl 2.92, 4 S 3.10

Properties
The volume is 44.997 A^3/atom. The value obtained for the formation energy without anion corrections is -2.0 kcal/mol of atoms. Its symmetry is P4/mmm (123).


Ca2Mg | GGA-PBEsol | optimized geometry

Cell: 5.5275 7.0848 10.3574 Å, 90.00 90.00 90.00°
Last column: nearest neighbours and their distance in Å.
Element x y z (fractional)
Ca1 0.7500 0.9541 0.7826  5 Mg 3.45-3.82, 5 Ca 3.61-3.75
Ca2 0.7500 0.8260 0.4317  5 Mg 3.41-3.68, 3 Ca 3.74-3.75
Ca3 0.2500 0.6740 0.9317  5 Mg 3.41-3.68, 3 Ca 3.74-3.75
Ca4 0.2500 0.5459 0.2826  5 Mg 3.45-3.82, 5 Ca 3.61-3.75
Ca5 0.7500 0.4541 0.7174  5 Mg 3.45-3.82, 5 Ca 3.61-3.75
Ca6 0.7500 0.3260 0.0683  5 Mg 3.41-3.68, 3 Ca 3.74-3.75
Ca7 0.2500 0.1740 0.5683  5 Mg 3.41-3.68, 3 Ca 3.74-3.75
Ca8 0.2500 0.0459 0.2174  5 Mg 3.45-3.82, 5 Ca 3.61-3.75
Mg1 0.7500 0.8086 0.1018  10 Ca 3.41-3.82
Mg2 0.2500 0.6914 0.6018  10 Ca 3.41-3.82
Mg3 0.7500 0.3086 0.3982  10 Ca 3.41-3.82
Mg4 0.2500 0.1914 0.8982  10 Ca 3.41-3.82

Properties
The volume is 33.801 A^3/atom. Its symmetry is Pnma (62). The energy of formation is -0.13 eV/f.u.


ScPtF2 | GGA-PBEsol | optimized geometry

Cell: 2.8187 2.8187 9.3571 Å, 81.34 81.34 60.00°
Last column: nearest neighbours and their distance in Å.
Element x y z (fractional)
Sc1 0.5000 0.5000 0.5000  6 F 2.08
Pt1 0.0000 0.0000 0.0000  6 Pt 2.82
F1 0.8802 0.8802 0.3595  3 Sc 2.08
F2 0.1198 0.1198 0.6405  3 Sc 2.08

Properties
The value obtained for the distance to the lowest polymorph of the same formula is 0 meV/atom. The volume is 15.851 A^3/atom. The value obtained for the formation energy without anion corrections is -44.0 kcal/mol of atoms. Its symmetry is R-3m (166).


Ba3SrH | GGA-PBEsol | optimized geometry

Cell: 6.9810 6.9810 6.9810 Å, 90.00 90.00 90.00°
Last column: nearest neighbours and their distance in Å.
Element x y z (fractional)
Sr1 0.0000 0.0000 0.0000  6 Ba 3.49
Ba1 0.0000 0.5000 0.0000  2 Sr 3.49
Ba2 0.0000 0.0000 0.5000  2 Sr 3.49
Ba3 0.5000 0.0000 0.0000  2 Sr 3.49
H1 0.5000 0.5000 0.5000  12 Ba 4.94

Properties
The value obtained for the distance to the lowest polymorph of the same formula is 1124 meV/atom. The volume is 68.044 A^3/atom. Its symmetry is Pm-3m (221).


ScTaHg2W | GGA-PBEsol | optimized geometry

Cell: 4.7034 5.1812 5.1812 Å, 90.00 90.00 90.00°
Last column: nearest neighbours and their distance in Å.
Element x y z (fractional)
Sc1 0.5000 0.5000 0.5000  8 Hg 3.50, 4 Ta 3.66
Hg1 0.0000 0.0000 0.5000  2 W 2.59
Hg2 0.0000 0.5000 0.0000  2 W 2.59
W1 0.0000 0.0000 0.0000  2 Ta 2.35, 4 Hg 2.59
Ta1 0.5000 0.0000 0.0000  2 W 2.35

Properties
The volume is 25.253 A^3/atom. Its symmetry is P4/mmm (123). The energy of formation is 5.67 eV/f.u.


Ce3InC | GGA-PBEsol | optimized geometry

Cell: 4.8998 4.8998 4.8998 Å, 90.00 90.00 90.00°
Last column: nearest neighbours and their distance in Å.
Element x y z (fractional)
Ce1 0.5000 0.5000 0.0000  2 C 2.45
Ce2 0.0000 0.5000 0.5000  2 C 2.45
Ce3 0.5000 0.0000 0.5000  2 C 2.45
In1 0.0000 0.0000 0.0000  12 Ce 3.46
C1 0.5000 0.5000 0.5000  6 Ce 2.45

Properties
The volume is 23.527 A^3/atom. Its symmetry is Pm-3m (221). The energy of formation is -1.37 eV/f.u.


Computed magnetization (μB/atom) in order:
0.000 0.000 0.991 0.000 0.000 0.001 0.600 0.000 0.000 0.634 0.001 0.284